Record 1
A plane-wave DFT calculation with PBE was carried out for an optimized crystal structure of Tm2PbSe.

abc: 3.8317 3.8317 8.4750
angles: 76.93 76.93 60.00
Closest atoms and distances in Å follow each position.
Fractional positions:
Pb: 0.4993 0.4993 0.5021  6 Tm 3.23-3.25
Tm: 0.2632 0.2632 0.2103  3 Se 2.81
Tm: 0.0700 0.0700 0.7899  3 Se 2.79
Se: 0.6675 0.6675 0.9976  6 Tm 2.79-2.81

For the raw total energy, the calculation gives -0.3708 Ry/atom.

=====

Record 2
A plane-wave DFT calculation with PBE was carried out for an optimized crystal structure of Tm2PbSe.

abc: 3.5115 3.5115 7.9366
angles: 90.00 90.00 90.00
Closest atoms and distances in Å follow each position.
Fractional positions:
Pb: 0.5000 0.5000 0.5000  8 Tm 3.31, 4 Pb 3.51
Tm: 0.0000 0.0000 0.7764  4 Se 3.05, 4 Pb 3.31
Tm: 0.0000 0.0000 0.2236  4 Se 3.05, 4 Pb 3.31
Se: 0.5000 0.5000 0.0000  8 Tm 3.05

For the raw total energy, the calculation gives -0.3607 Ry/atom.

=====

Record 3
A plane-wave DFT calculation with PBE was carried out for an optimized crystal structure of Tm3Pb2Se.

abc: 3.9058 6.1367 7.8271
angles: 113.08 104.45 90.00
Closest atoms and distances in Å follow each position.
Fractional positions:
Tm: 0.8481 0.8481 0.6962  2 Se 2.87, 4 Pb 3.08-3.14
Tm: 0.1519 0.1519 0.3038  2 Se 2.87, 4 Pb 3.08-3.14
Pb: 0.1710 0.6709 0.3419  6 Tm 3.07-3.14
Pb: 0.8290 0.3291 0.6581  6 Tm 3.07-3.14
Se: 0.5000 0.0000 0.0000  6 Tm 2.87-3.07
Tm: 0.5000 0.5000 0.0000  2 Se 3.07, 4 Pb 3.07

For the raw total energy, the calculation gives -0.3577 Ry/atom.